# Tm2AgHg (GGA-PBEsol, optimized geometry)
data_Tm2AgHg
_chemical_formula_sum 'Tm8 Ag4 Hg4'
_space_group_name_H-M_alt 'F m -3 m'
_space_group_IT_number 225
_space_group_name_Hall '-F 4 2 3'
_cell_length_a 7.126
_cell_length_b 7.126
_cell_length_c 7.126
_cell_angle_alpha 90.00
_cell_angle_beta 90.00
_cell_angle_gamma 90.00
loop_
_atom_site_label
_atom_site_fract_x
_atom_site_fract_y
_atom_site_fract_z
Tm1 0.250 0.250 0.250
Ag1 0.000 0.000 0.000
Hg1 0.000 0.000 0.500
# magnetization: 0.00 Bohr magnetons per cell
# energy of formation from the pure elements: -470 meV per atom

=====

# Al2CoHg (GGA-PBEsol, optimized geometry)
data_Al2CoHg
_chemical_formula_sum 'Al4 Co2 Hg2'
_space_group_name_H-M_alt 'I 4/m m m'
_space_group_IT_number 139
_space_group_name_Hall '-I 4 2'
_cell_length_a 3.935
_cell_length_b 3.935
_cell_length_c 7.544
_cell_angle_alpha 90.00
_cell_angle_beta 90.00
_cell_angle_gamma 90.00
loop_
_atom_site_label
_atom_site_fract_x
_atom_site_fract_y
_atom_site_fract_z
Al1 0.000 0.500 0.250
Co1 0.000 0.000 0.000
Hg1 0.000 0.000 0.500
# excess energy over the best structure of this formula in the dataset: 195.4 meV per atom
# magnetization: 0.00 Bohr magnetons per cell
# energy of formation from the pure elements: -4 meV per atom

=====

# LiPdCl2 (GGA-PBEsol, optimized geometry)
data_LiPdCl2
_chemical_formula_sum 'Li3 Pd3 Cl6'
_space_group_name_H-M_alt 'R -3 m'
_space_group_IT_number 166
_space_group_name_Hall '-R 3 2"'
_cell_length_a 4.0454
_cell_length_b 4.0454
_cell_length_c 20.1065
_cell_angle_alpha 90.00
_cell_angle_beta 90.00
_cell_angle_gamma 120.00
loop_
_atom_site_label
_atom_site_fract_x
_atom_site_fract_y
_atom_site_fract_z
Li1 0.0000 0.0000 0.0000
Pd1 0.0000 0.0000 0.5000
Cl1 0.0000 0.0000 0.1080
# excess energy over the best structure of this formula in the dataset: 16.0 meV per atom
# E_form (uncorrected): -573 meV per atom
# magnetization: 3.07 Bohr magnetons per cell

=====

# Be5Co4 (GGA-PBEsol, optimized geometry)
data_Be5Co4
_chemical_formula_sum 'Be10 Co8'
_space_group_name_H-M_alt 'P 63/m c m'
_space_group_IT_number 193
_space_group_name_Hall '-P 6c 2'
_cell_length_a 6.3489
_cell_length_b 6.3489
_cell_length_c 4.3831
_cell_angle_alpha 90.00
_cell_angle_beta 90.00
_cell_angle_gamma 120.00
loop_
_atom_site_label
_atom_site_fract_x
_atom_site_fract_y
_atom_site_fract_z
Be1 0.0000 0.3098 0.2500
Be2 0.3333 0.6667 0.0000
Co1 0.0000 0.0000 0.0000
Co2 0.0000 0.3600 0.7500
# magnetization: 0.55 Bohr magnetons per cell
# energy of formation from the pure elements: -226 meV per atom

=====

# Mg2AsOs (GGA-PBEsol, optimized geometry)
data_Mg2AsOs
_chemical_formula_sum 'Mg2 As1 Os1'
_space_group_name_H-M_alt 'P 4/m m m'
_space_group_IT_number 123
_space_group_name_Hall '-P 4 2'
_cell_length_a 3.405
_cell_length_b 3.405
_cell_length_c 5.493
_cell_angle_alpha 90.00
_cell_angle_beta 90.00
_cell_angle_gamma 90.00
loop_
_atom_site_label
_atom_site_fract_x
_atom_site_fract_y
_atom_site_fract_z
Mg1 0.000 0.000 0.239
As1 0.500 0.500 0.500
Os1 0.500 0.500 0.000
# magnetization: 0.00 Bohr magnetons per cell
# energy of formation from the pure elements: 83 meV per atom

=====

# Mg3Hg5 (GGA-PBEsol, optimized geometry)
data_Mg3Hg5
_chemical_formula_sum 'Mg12 Hg20'
_space_group_name_H-M_alt 'C 1 2/m 1'
_space_group_IT_number 12
_space_group_name_Hall '-C 2y'
_cell_length_a 6.006
_cell_length_b 15.321
_cell_length_c 7.811
_cell_angle_alpha 90.00
_cell_angle_beta 105.38
_cell_angle_gamma 90.00
loop_
_atom_site_label
_atom_site_fract_x
_atom_site_fract_y
_atom_site_fract_z
Mg1 0.000 0.162 0.000
Mg2 0.000 0.231 0.500
Mg3 0.197 0.000 0.678
Hg1 0.128 0.324 0.194
Hg2 0.223 0.500 0.951
Hg3 0.245 0.399 0.630
# excess energy over the best structure of this formula in the dataset: 27.4 meV per atom
# magnetization: 0.00 Bohr magnetons per cell
# energy of formation from the pure elements: -189 meV per atom

=====

# TaGaTc2B (GGA-PBEsol, optimized geometry)
data_TaGaTc2B
_chemical_formula_sum 'Ta1 Ga1 Tc2 B1'
_space_group_name_H-M_alt 'P 4/m m m'
_space_group_IT_number 123
_space_group_name_Hall '-P 4 2'
_cell_length_a 4.070
_cell_length_b 4.070
_cell_length_c 4.250
_cell_angle_alpha 90.00
_cell_angle_beta 90.00
_cell_angle_gamma 90.00
loop_
_atom_site_label
_atom_site_fract_x
_atom_site_fract_y
_atom_site_fract_z
Ta1 0.000 0.000 0.000
Ga1 0.500 0.500 0.000
Tc1 0.000 0.500 0.500
B1 0.000 0.000 0.500
# magnetization: 0.00 Bohr magnetons per cell
# energy of formation from the pure elements: 56 meV per atom

=====

# Er5Si3 (GGA-PBEsol, optimized geometry)
data_Er5Si3
_chemical_formula_sum 'Er10 Si6'
_space_group_name_H-M_alt 'P 63/m c m'
_space_group_IT_number 193
_space_group_name_Hall '-P 6c 2'
_cell_length_a 8.2661
_cell_length_b 8.2661
_cell_length_c 6.1776
_cell_angle_alpha 90.00
_cell_angle_beta 90.00
_cell_angle_gamma 120.00
loop_
_atom_site_label
_atom_site_fract_x
_atom_site_fract_y
_atom_site_fract_z
Er1 0.0000 0.2423 0.2500
Er2 0.3333 0.6667 0.0000
Si1 0.0000 0.3953 0.7500
# E_form (uncorrected): -739 meV per atom
# magnetization: 0.00 Bohr magnetons per cell

=====

# Re2HgMo (GGA-PBEsol, optimized geometry)
data_Re2HgMo
_chemical_formula_sum 'Re4 Hg2 Mo2'
_space_group_name_H-M_alt 'I -4 m 2'
_space_group_IT_number 119
_space_group_name_Hall 'I -4 -2'
_cell_length_a 3.941
_cell_length_b 3.941
_cell_length_c 8.040
_cell_angle_alpha 90.00
_cell_angle_beta 90.00
_cell_angle_gamma 90.00
loop_
_atom_site_label
_atom_site_fract_x
_atom_site_fract_y
_atom_site_fract_z
Re1 0.000 0.000 0.000
Re2 0.000 0.500 0.250
Hg1 0.000 0.000 0.500
Mo1 0.000 0.500 0.750
# magnetization: 0.00 Bohr magnetons per cell
# energy of formation from the pure elements: 583 meV per atom

=====

# Mn2InCo (GGA-PBEsol, optimized geometry)
data_Mn2InCo
_chemical_formula_sum 'Mn4 In2 Co2'
_space_group_name_H-M_alt 'I -4 m 2'
_space_group_IT_number 119
_space_group_name_Hall 'I -4 -2'
_cell_length_a 4.077
_cell_length_b 4.077
_cell_length_c 6.645
_cell_angle_alpha 90.00
_cell_angle_beta 90.00
_cell_angle_gamma 90.00
loop_
_atom_site_label
_atom_site_fract_x
_atom_site_fract_y
_atom_site_fract_z
Mn1 0.000 0.000 0.000
Mn2 0.000 0.500 0.250
In1 0.000 0.500 0.750
Co1 0.000 0.000 0.500
# magnetization: 2.26 Bohr magnetons per cell
# energy of formation from the pure elements: 197 meV per atom

=====

# CaUSe2O8 (GGA-PBEsol, optimized geometry)
data_CaUSe2O8
_chemical_formula_sum 'Ca2 U2 Se4 O16'
_space_group_name_H-M_alt 'P -1'
_space_group_IT_number 2
_space_group_name_Hall '-P 1'
_cell_length_a 5.519
_cell_length_b 6.647
_cell_length_c 11.001
_cell_angle_alpha 103.53
_cell_angle_beta 92.92
_cell_angle_gamma 111.15
loop_
_atom_site_label
_atom_site_fract_x
_atom_site_fract_y
_atom_site_fract_z
Ca1 0.171 0.245 0.434
U1 0.331 0.742 0.833
Se1 0.178 0.187 0.876
Se2 0.241 0.704 0.349
O1 0.040 0.650 0.908
O2 0.060 0.525 0.652
O3 0.175 0.902 0.454
O4 0.177 0.982 0.746
O5 0.385 0.170 0.250
O6 0.386 0.125 0.973
O7 0.388 0.424 0.843
O8 0.432 0.621 0.434
# E_form (uncorrected): -2012 meV per atom
# magnetization: 0.00 Bohr magnetons per cell

=====

# ScAg4Rh (GGA-PBEsol, optimized geometry)
data_ScAg4Rh
_chemical_formula_sum 'Sc4 Ag16 Rh4'
_space_group_name_H-M_alt 'F -4 3 m'
_space_group_IT_number 216
_space_group_name_Hall 'F -4 2 3'
_cell_length_a 7.443
_cell_length_b 7.443
_cell_length_c 7.443
_cell_angle_alpha 90.00
_cell_angle_beta 90.00
_cell_angle_gamma 90.00
loop_
_atom_site_label
_atom_site_fract_x
_atom_site_fract_y
_atom_site_fract_z
Sc1 0.000 0.000 0.000
Ag1 0.125 0.125 0.625
Rh1 0.250 0.250 0.250
# magnetization: 0.00 Bohr magnetons per cell
# energy of formation from the pure elements: 26 meV per atom

=====

# MgZn2Au2 (GGA-PBEsol, optimized geometry)
data_MgZn2Au2
_chemical_formula_sum 'Mg2 Zn4 Au4'
_space_group_name_H-M_alt 'P 4/m b m'
_space_group_IT_number 127
_space_group_name_Hall '-P 4 2ab'
_cell_length_a 7.295
_cell_length_b 7.295
_cell_length_c 3.131
_cell_angle_alpha 90.00
_cell_angle_beta 90.00
_cell_angle_gamma 90.00
loop_
_atom_site_label
_atom_site_fract_x
_atom_site_fract_y
_atom_site_fract_z
Mg1 0.000 0.000 0.000
Zn1 0.153 0.347 0.500
Au1 0.146 0.646 0.000
# excess energy over the best structure of this formula in the dataset: 27.4 meV per atom
# magnetization: 0.00 Bohr magnetons per cell
# energy of formation from the pure elements: -288 meV per atom

=====

# KSr4Se (GGA-PBEsol, optimized geometry)
data_KSr4Se
_chemical_formula_sum 'K4 Sr16 Se4'
_space_group_name_H-M_alt 'F -4 3 m'
_space_group_IT_number 216
_space_group_name_Hall 'F -4 2 3'
_cell_length_a 10.554
_cell_length_b 10.554
_cell_length_c 10.554
_cell_angle_alpha 90.00
_cell_angle_beta 90.00
_cell_angle_gamma 90.00
loop_
_atom_site_label
_atom_site_fract_x
_atom_site_fract_y
_atom_site_fract_z
K1 0.000 0.000 0.000
Sr1 0.124 0.124 0.624
Se1 0.250 0.250 0.250
# E_form (uncorrected): 167 meV per atom
# magnetization: 0.01 Bohr magnetons per cell

=====

# Al3IrOs (GGA-PBEsol, optimized geometry)
data_Al3IrOs
_chemical_formula_sum 'Al3 Ir1 Os1'
_space_group_name_H-M_alt 'P m -3 m'
_space_group_IT_number 221
_space_group_name_Hall '-P 4 2 3'
_cell_length_a 4.539
_cell_length_b 4.539
_cell_length_c 4.539
_cell_angle_alpha 90.00
_cell_angle_beta 90.00
_cell_angle_gamma 90.00
loop_
_atom_site_label
_atom_site_fract_x
_atom_site_fract_y
_atom_site_fract_z
Al1 0.000 0.000 0.500
Ir1 0.500 0.500 0.500
Os1 0.000 0.000 0.000
# magnetization: 0.00 Bohr magnetons per cell
# energy of formation from the pure elements: 727 meV per atom

=====

# PC3Se (GGA-PBEsol, optimized geometry)
data_PC3Se
_chemical_formula_sum 'P1 C3 Se1'
_space_group_name_H-M_alt 'P m -3 m'
_space_group_IT_number 221
_space_group_name_Hall '-P 4 2 3'
_cell_length_a 3.824
_cell_length_b 3.824
_cell_length_c 3.824
_cell_angle_alpha 90.00
_cell_angle_beta 90.00
_cell_angle_gamma 90.00
loop_
_atom_site_label
_atom_site_fract_x
_atom_site_fract_y
_atom_site_fract_z
P1 0.000 0.000 0.000
C1 0.000 0.500 0.500
Se1 0.500 0.500 0.500
# E_form (uncorrected): 2974 meV per atom
# magnetization: 0.00 Bohr magnetons per cell

=====

# LiSb2Ru2 (GGA-PBEsol, optimized geometry)
data_LiSb2Ru2
_chemical_formula_sum 'Li2 Sb4 Ru4'
_space_group_name_H-M_alt 'I 4/m m m'
_space_group_IT_number 139
_space_group_name_Hall '-I 4 2'
_cell_length_a 4.525
_cell_length_b 4.525
_cell_length_c 9.941
_cell_angle_alpha 90.00
_cell_angle_beta 90.00
_cell_angle_gamma 90.00
loop_
_atom_site_label
_atom_site_fract_x
_atom_site_fract_y
_atom_site_fract_z
Li1 0.000 0.000 0.000
Sb1 0.000 0.500 0.250
Ru1 0.000 0.000 0.383
# E_form (uncorrected): 147 meV per atom
# magnetization: 0.00 Bohr magnetons per cell

=====

# Fe3Tc2 (GGA-PBEsol, optimized geometry)
data_Fe3Tc2
_chemical_formula_sum 'Fe9 Tc6'
_space_group_name_H-M_alt 'R -3 m'
_space_group_IT_number 166
_space_group_name_Hall '-R 3 2"'
_cell_length_a 2.5818
_cell_length_b 2.5818
_cell_length_c 30.9848
_cell_angle_alpha 90.00
_cell_angle_beta 90.00
_cell_angle_gamma 120.00
loop_
_atom_site_label
_atom_site_fract_x
_atom_site_fract_y
_atom_site_fract_z
Fe1 0.0000 0.0000 0.0000
Fe2 0.0000 0.0000 0.1977
Tc1 0.0000 0.0000 0.4011
# magnetization: 11.45 Bohr magnetons per cell
# energy of formation from the pure elements: 176 meV per atom

=====

# Ni3HSe (GGA-PBEsol, optimized geometry)
data_Ni3HSe
_chemical_formula_sum 'Ni3 H1 Se1'
_space_group_name_H-M_alt 'P m -3 m'
_space_group_IT_number 221
_space_group_name_Hall '-P 4 2 3'
_cell_length_a 3.651
_cell_length_b 3.651
_cell_length_c 3.651
_cell_angle_alpha 90.00
_cell_angle_beta 90.00
_cell_angle_gamma 90.00
loop_
_atom_site_label
_atom_site_fract_x
_atom_site_fract_y
_atom_site_fract_z
Ni1 0.000 0.000 0.500
H1 0.000 0.000 0.000
Se1 0.500 0.500 0.500
# magnetization: 0.01 Bohr magnetons per cell
# E: -25.60 eV/f.u.

=====

# Mg5Ta (GGA-PBEsol, optimized geometry)
data_Mg5Ta
_chemical_formula_sum 'Mg20 Ta4'
_space_group_name_H-M_alt 'F -4 3 m'
_space_group_IT_number 216
_space_group_name_Hall 'F -4 2 3'
_cell_length_a 7.927
_cell_length_b 7.927
_cell_length_c 7.927
_cell_angle_alpha 90.00
_cell_angle_beta 90.00
_cell_angle_gamma 90.00
loop_
_atom_site_label
_atom_site_fract_x
_atom_site_fract_y
_atom_site_fract_z
Mg1 0.000 0.000 0.000
Mg2 0.124 0.124 0.624
Ta1 0.250 0.250 0.250
# magnetization: 8.28 Bohr magnetons per cell
# energy of formation from the pure elements: 506 meV per atom

=====

# HfCdP2S (GGA-PBEsol, optimized geometry)
data_HfCdP2S
_chemical_formula_sum 'Hf1 Cd1 P2 S1'
_space_group_name_H-M_alt 'P 4/m m m'
_space_group_IT_number 123
_space_group_name_Hall '-P 4 2'
_cell_length_a 4.742
_cell_length_b 4.742
_cell_length_c 4.744
_cell_angle_alpha 90.00
_cell_angle_beta 90.00
_cell_angle_gamma 90.00
loop_
_atom_site_label
_atom_site_fract_x
_atom_site_fract_y
_atom_site_fract_z
Hf1 0.000 0.000 0.000
Cd1 0.500 0.500 0.500
P1 0.000 0.500 0.500
S1 0.500 0.500 0.000
# excess energy over the best structure of this formula in the dataset: 814.8 meV per atom
# E_form (uncorrected): 914 meV per atom
# magnetization: 0.00 Bohr magnetons per cell

=====

# Ba2CoPt (GGA-PBEsol, optimized geometry)
data_Ba2CoPt
_chemical_formula_sum 'Ba6 Co3 Pt3'
_space_group_name_H-M_alt 'R -3 m'
_space_group_IT_number 166
_space_group_name_Hall '-R 3 2"'
_cell_length_a 4.3556
_cell_length_b 4.3556
_cell_length_c 23.3117
_cell_angle_alpha 90.00
_cell_angle_beta 90.00
_cell_angle_gamma 120.00
loop_
_atom_site_label
_atom_site_fract_x
_atom_site_fract_y
_atom_site_fract_z
Ba1 0.0000 0.0000 0.2454
Co1 0.0000 0.0000 0.0000
Pt1 0.0000 0.0000 0.5000
# magnetization: 3.70 Bohr magnetons per cell
# energy of formation from the pure elements: 311 meV per atom

=====

# LaCd2Rh (GGA-PBEsol, optimized geometry)
data_LaCd2Rh
_chemical_formula_sum 'La1 Cd2 Rh1'
_space_group_name_H-M_alt 'P 4/m m m'
_space_group_IT_number 123
_space_group_name_Hall '-P 4 2'
_cell_length_a 3.288
_cell_length_b 3.288
_cell_length_c 7.761
_cell_angle_alpha 90.00
_cell_angle_beta 90.00
_cell_angle_gamma 90.00
loop_
_atom_site_label
_atom_site_fract_x
_atom_site_fract_y
_atom_site_fract_z
La1 0.000 0.000 0.000
Cd1 0.500 0.500 0.307
Rh1 0.000 0.000 0.500
# magnetization: 0.00 Bohr magnetons per cell
# energy of formation from the pure elements: -187 meV per atom

=====

# LuMgTl2 (GGA-PBEsol, optimized geometry)
data_LuMgTl2
_chemical_formula_sum 'Lu4 Mg4 Tl8'
_space_group_name_H-M_alt 'F m -3 m'
_space_group_IT_number 225
_space_group_name_Hall '-F 4 2 3'
_cell_length_a 7.267
_cell_length_b 7.267
_cell_length_c 7.267
_cell_angle_alpha 90.00
_cell_angle_beta 90.00
_cell_angle_gamma 90.00
loop_
_atom_site_label
_atom_site_fract_x
_atom_site_fract_y
_atom_site_fract_z
Lu1 0.000 0.000 0.000
Mg1 0.000 0.000 0.500
Tl1 0.250 0.250 0.250
# magnetization: 0.00 Bohr magnetons per cell
# energy of formation from the pure elements: -229 meV per atom

=====

# Ba5Au (GGA-PBEsol, optimized geometry)
data_Ba5Au
_chemical_formula_sum 'Ba20 Au4'
_space_group_name_H-M_alt 'F -4 3 m'
_space_group_IT_number 216
_space_group_name_Hall 'F -4 2 3'
_cell_length_a 10.538
_cell_length_b 10.538
_cell_length_c 10.538
_cell_angle_alpha 90.00
_cell_angle_beta 90.00
_cell_angle_gamma 90.00
loop_
_atom_site_label
_atom_site_fract_x
_atom_site_fract_y
_atom_site_fract_z
Ba1 0.000 0.000 0.000
Ba2 0.123 0.123 0.377
Au1 0.250 0.250 0.750
# excess energy over the best structure of this formula in the dataset: 588.3 meV per atom
# magnetization: 0.45 Bohr magnetons per cell
# energy of formation from the pure elements: 392 meV per atom